No. 1
Below is an optimized crystal structure of CrFe3Ni12, with properties calculated at the PBE-GGA level.

Summary:
Energy of formation: -0.062 eV per atom

abc: 3.5404 3.5404 14.2134
angles: 90.00 90.00 90.00
Fractional positions:
Cr1 0.0000 0.0000 0.0000
Fe1 0.0000 0.0000 0.2504
Fe2 0.0000 0.0000 0.5000
Fe3 0.0000 0.0000 0.7496
Ni1 0.0000 0.5000 0.1251
Ni2 0.0000 0.5000 0.3751
Ni3 0.0000 0.5000 0.6249
Ni4 0.0000 0.5000 0.8749
Ni5 0.5000 0.0000 0.1251
Ni6 0.5000 0.0000 0.3751
Ni7 0.5000 0.0000 0.6249
Ni8 0.5000 0.0000 0.8749
Ni9 0.5000 0.5000 0.0000
Ni10 0.5000 0.5000 0.2502
Ni11 0.5000 0.5000 0.5000
Ni12 0.5000 0.5000 0.7498

---

No. 2
Below is an optimized crystal structure of Li4SmPt2, with properties calculated at the PBE-GGA level.

Summary:
Energy above the most stable polymorph in this dataset: 39.1 meV per atom
Energy of formation: -0.559 eV per atom

abc: 3.8607 16.6349 4.0043
angles: 90.00 90.00 90.00
Fractional positions:
Li1 0.0000 0.1754 0.0000
Li2 0.0000 0.3152 0.5000
Li3 0.0000 0.6848 0.5000
Li4 0.0000 0.8246 0.0000
Li5 0.5000 0.1848 0.5000
Li6 0.5000 0.3246 0.0000
Li7 0.5000 0.6754 0.0000
Li8 0.5000 0.8152 0.5000
Sm1 0.0000 0.5000 0.0000
Sm2 0.5000 0.0000 0.0000
Pt1 0.0000 0.0812 0.5000
Pt2 0.0000 0.9188 0.5000
Pt3 0.5000 0.4188 0.5000
Pt4 0.5000 0.5812 0.5000

---

No. 3
Below is an optimized crystal structure of Pr2ZrS5, with properties calculated at the PBE-GGA level.

Summary:
E_form (uncorrected): -14.1 eV per formula unit
Energy above the most stable polymorph in this dataset: 126.2 meV per atom

abc: 7.4180 7.4180 13.1168
angles: 90.00 90.00 138.21
Fractional positions:
Pr1 0.1437 0.8563 0.5649
Pr2 0.1437 0.8563 0.9351
Pr3 0.8563 0.1437 0.0649
Pr4 0.8563 0.1437 0.4351
Zr1 0.1847 0.8153 0.2500
Zr2 0.8153 0.1847 0.7500
S1 0.0494 0.9506 0.1241
S2 0.0494 0.9506 0.3759
S3 0.2714 0.7286 0.7500
S4 0.2980 0.7020 0.0888
S5 0.2980 0.7020 0.4112
S6 0.7020 0.2980 0.5888
S7 0.7020 0.2980 0.9112
S8 0.7286 0.2714 0.2500
S9 0.9506 0.0494 0.6241
S10 0.9506 0.0494 0.8759

---

No. 4
Below is an optimized crystal structure of La2NiTe2, with properties calculated at the PBE-GGA level.

Summary:
E_form (uncorrected): -1.3 eV per formula unit
Energy above the most stable polymorph in this dataset: 566.6 meV per atom

abc: 4.3291 4.3291 16.3205
angles: 90.00 90.00 90.00
Fractional positions:
La1 0.0000 0.0000 0.0977
La2 0.0000 0.0000 0.9023
La3 0.5000 0.5000 0.4023
La4 0.5000 0.5000 0.5977
Ni1 0.0000 0.0000 0.5000
Ni2 0.5000 0.5000 0.0000
Te1 0.0000 0.5000 0.2500
Te2 0.0000 0.5000 0.7500
Te3 0.5000 0.0000 0.2500
Te4 0.5000 0.0000 0.7500

---

No. 5
Below is an optimized crystal structure of Dy3Y8, with properties calculated at the PBE-GGA level.

Summary:
Energy above the most stable polymorph in this dataset: 0.0 meV per atom
Energy of formation: 0.405 eV per atom

abc: 7.7153 7.7153 7.7153
angles: 107.28 107.28 107.28
Fractional positions:
Dy1 0.0000 0.5000 0.5000
Dy2 0.5000 0.0000 0.5000
Dy3 0.5000 0.5000 0.0000
Y1 0.0323 0.1810 0.6903
Y2 0.1810 0.6903 0.0323
Y3 0.2496 0.2496 0.2496
Y4 0.3097 0.9677 0.8190
Y5 0.6903 0.0323 0.1810
Y6 0.7504 0.7504 0.7504
Y7 0.8190 0.3097 0.9677
Y8 0.9677 0.8190 0.3097

---

No. 6
Below is an optimized crystal structure of Ce3Sb2Rh7, with properties calculated at the PBE-GGA level.

Summary:
E_form (uncorrected): -8.1 eV per formula unit

abc: 13.9806 13.9806 4.1176
angles: 90.00 90.00 162.86
Fractional positions:
Ce1 0.0000 0.0000 0.0000
Ce2 0.1854 0.8146 0.0000
Ce3 0.8146 0.1854 0.0000
Sb1 0.3718 0.6282 0.5000
Sb2 0.6282 0.3718 0.5000
Rh1 0.0731 0.9269 0.5000
Rh2 0.2788 0.7212 0.5000
Rh3 0.4272 0.5728 0.0000
Rh4 0.5000 0.5000 0.5000
Rh5 0.5728 0.4272 0.0000
Rh6 0.7212 0.2788 0.5000
Rh7 0.9269 0.0731 0.5000

---

No. 7
Below is an optimized crystal structure of AgWBr3, with properties calculated at the PBE-GGA level.

Summary:
E_form (uncorrected): 5.7 eV per formula unit
Energy above the most stable polymorph in this dataset: 677.2 meV per atom

abc: 5.2783 5.2783 5.2783
angles: 90.00 90.00 90.00
Fractional positions:
Ag1 0.0000 0.0000 0.0000
W1 0.5000 0.5000 0.5000
Br1 0.0000 0.0000 0.5000
Br2 0.0000 0.5000 0.0000
Br3 0.5000 0.0000 0.0000

---

No. 8
Below is an optimized crystal structure of V4CrRe, with properties calculated at the PBE-GGA level.

Summary:
Energy above the most stable polymorph in this dataset: 0.0 meV per atom
Energy of formation: -0.188 eV per atom

abc: 2.9802 2.9802 8.9857
angles: 90.00 90.00 90.00
Fractional positions:
V1 0.0000 0.0000 0.1581
V2 0.0000 0.0000 0.8419
V3 0.5000 0.5000 0.3300
V4 0.5000 0.5000 0.6700
Cr1 0.5000 0.5000 0.0000
Re1 0.0000 0.0000 0.5000

---

No. 9
Below is an optimized crystal structure of Na2AlZn3, with properties calculated at the PBE-GGA level.

Summary:
Energy of formation: -0.013 eV per atom

abc: 9.3731 5.5763 5.4064
angles: 90.00 124.23 90.00
Fractional positions:
Na1 0.1246 0.0000 0.3742
Na2 0.3754 0.5000 0.6258
Na3 0.6246 0.5000 0.3742
Na4 0.8754 0.0000 0.6258
Al1 0.0000 0.5000 0.0000
Al2 0.5000 0.0000 0.0000
Zn1 0.0000 0.5000 0.5000
Zn2 0.2500 0.2500 0.0000
Zn3 0.2500 0.7500 0.0000
Zn4 0.5000 0.0000 0.5000
Zn5 0.7500 0.2500 0.0000
Zn6 0.7500 0.7500 0.0000

---

No. 10
Below is an optimized crystal structure of Cs3Ac2PbS6, with properties calculated at the PBE-GGA level.

Summary:
E_form (uncorrected): -17.2 eV per formula unit

abc: 7.6440 7.6440 8.5246
angles: 98.58 98.58 119.97
Fractional positions:
Cs1 0.0000 0.0000 0.0000
Cs2 0.3353 0.6647 0.0000
Cs3 0.6647 0.3353 0.0000
Ac1 0.1669 0.8331 0.5000
Ac2 0.8331 0.1669 0.5000
Pb1 0.5000 0.5000 0.5000
S1 0.1077 0.4356 0.3067
S2 0.2362 0.2362 0.6932
S3 0.4356 0.1077 0.3067
S4 0.5644 0.8923 0.6933
S5 0.7638 0.7638 0.3068
S6 0.8923 0.5644 0.6933

---

No. 11
Below is an optimized crystal structure of AgAsPbSe3, with properties calculated at the PBE-GGA level.

Summary:
E_form (uncorrected): -1.3 eV per formula unit

abc: 8.4525 3.9979 9.3436
angles: 90.00 101.99 90.00
Fractional positions:
Ag1 0.0778 0.2500 0.1023
Ag2 0.9222 0.7500 0.8977
As1 0.3244 0.7500 0.3859
As2 0.6756 0.2500 0.6141
Pb1 0.2039 0.2500 0.7726
Pb2 0.7961 0.7500 0.2274
Se1 0.1195 0.2500 0.3923
Se2 0.2633 0.7500 0.0119
Se3 0.4394 0.7500 0.6509
Se4 0.5606 0.2500 0.3491
Se5 0.7367 0.2500 0.9881
Se6 0.8805 0.7500 0.6077

---

No. 12
Below is an optimized crystal structure of Pm2TmPb, with properties calculated at the PBE-GGA level.

Summary:
Energy above the most stable polymorph in this dataset: 149.3 meV per atom
Energy of formation: -0.151 eV per atom

abc: 3.6421 3.6421 33.4269
angles: 90.00 90.00 120.00
Fractional positions:
Pm1 0.0000 0.0000 0.0000
Pm2 0.0000 0.0000 0.1701
Pm3 0.3333 0.6667 0.6667
Pm4 0.3333 0.6667 0.8368
Pm5 0.6667 0.3333 0.3333
Pm6 0.6667 0.3333 0.5035
Tm1 0.0000 0.0000 0.4184
Tm2 0.3333 0.6667 0.0850
Tm3 0.6667 0.3333 0.7517
Pb1 0.0000 0.0000 0.5848
Pb2 0.3333 0.6667 0.2515
Pb3 0.6667 0.3333 0.9181

---

No. 13
Below is an optimized crystal structure of Ba8P3AuBr3, with properties calculated at the PBE-GGA level.

Summary:
E_form (uncorrected): -19.5 eV per formula unit

abc: 9.6016 9.6016 9.6016
angles: 58.64 58.64 58.64
Fractional positions:
Ba1 0.2251 0.7501 0.7501
Ba2 0.2392 0.2392 0.2392
Ba3 0.2499 0.2499 0.7749
Ba4 0.2499 0.7749 0.2499
Ba5 0.7501 0.2251 0.7501
Ba6 0.7501 0.7501 0.2251
Ba7 0.7608 0.7608 0.7608
Ba8 0.7749 0.2499 0.2499
P1 0.0000 0.0000 0.5000
P2 0.0000 0.5000 0.0000
P3 0.5000 0.0000 0.0000
Au1 0.5000 0.5000 0.5000
Br1 0.0000 0.5000 0.5000
Br2 0.5000 0.0000 0.5000
Br3 0.5000 0.5000 0.0000

---

No. 14
Below is an optimized crystal structure of Ba2SrAg, with properties calculated at the PBE-GGA level.

Summary:
Energy above the most stable polymorph in this dataset: 23.9 meV per atom
Energy of formation: -0.122 eV per atom

abc: 4.2046 4.2046 10.5864
angles: 90.00 90.00 90.00
Fractional positions:
Ba1 0.0000 0.0000 0.1845
Ba2 0.0000 0.0000 0.8155
Sr1 0.5000 0.5000 0.5000
Ag1 0.5000 0.5000 0.0000

---

No. 15
Below is an optimized crystal structure of Sr3Ce2PrTe6, with properties calculated at the PBE-GGA level.

Summary:
E_form (uncorrected): -18.3 eV per formula unit

abc: 10.3994 10.3994 9.3335
angles: 104.52 104.52 25.43
Fractional positions:
Sr1 0.0000 0.0000 0.0000
Sr2 0.3341 0.3341 0.6665
Sr3 0.6659 0.6659 0.3335
Ce1 0.3335 0.3335 0.1675
Ce2 0.6665 0.6665 0.8325
Pr1 0.0000 0.0000 0.5000
Te1 0.1653 0.1653 0.5879
Te2 0.1686 0.1686 0.0783
Te3 0.4979 0.4979 0.2532
Te4 0.5021 0.5021 0.7468
Te5 0.8314 0.8314 0.9217
Te6 0.8347 0.8347 0.4121

---

No. 16
Below is an optimized crystal structure of Hf2NbS, with properties calculated at the PBE-GGA level.

Summary:
E_form (uncorrected): -2.4 eV per formula unit

abc: 3.3308 3.3308 24.2691
angles: 90.00 90.00 120.00
Fractional positions:
Hf1 0.0000 0.0000 0.2397
Hf2 0.0000 0.0000 0.7603
Hf3 0.3333 0.6667 0.4269
Hf4 0.3333 0.6667 0.9064
Hf5 0.6667 0.3333 0.0936
Hf6 0.6667 0.3333 0.5731
Nb1 0.0000 0.0000 0.0000
Nb2 0.3333 0.6667 0.6667
Nb3 0.6667 0.3333 0.3333
S1 0.0000 0.0000 0.5000
S2 0.3333 0.6667 0.1667
S3 0.6667 0.3333 0.8333

---

No. 17
Below is an optimized crystal structure of Dy2NbPt9, with properties calculated at the PBE-GGA level.

Summary:
Energy of formation: -0.928 eV per atom

abc: 4.0842 4.0842 12.2307
angles: 90.00 90.00 90.00
Fractional positions:
Dy1 0.0000 0.0000 0.1665
Dy2 0.0000 0.0000 0.8335
Nb1 0.0000 0.0000 0.5000
Pt1 0.0000 0.5000 0.0000
Pt2 0.0000 0.5000 0.3448
Pt3 0.0000 0.5000 0.6552
Pt4 0.5000 0.0000 0.0000
Pt5 0.5000 0.0000 0.3448
Pt6 0.5000 0.0000 0.6552
Pt7 0.5000 0.5000 0.1725
Pt8 0.5000 0.5000 0.5000
Pt9 0.5000 0.5000 0.8275

---

No. 18
Below is an optimized crystal structure of Ba2ScZnI, with properties calculated at the PBE-GGA level.

Summary:
E_form (uncorrected): 1.1 eV per formula unit

abc: 6.6075 6.6075 5.5460
angles: 90.00 90.00 90.00
Fractional positions:
Ba1 0.0000 0.5000 0.0000
Ba2 0.5000 0.0000 0.0000
Sc1 0.0000 0.0000 0.0000
Zn1 0.5000 0.5000 0.5000
I1 0.0000 0.0000 0.5000

---

No. 19
Below is an optimized crystal structure of Th3AlCu7, with properties calculated at the PBE-GGA level.

Summary:
Energy of formation: -0.106 eV per atom

abc: 9.8571 9.8571 9.8619
angles: 90.00 90.00 154.22
Fractional positions:
Th1 0.1168 0.8832 0.5570
Th2 0.1168 0.8832 0.9430
Th3 0.2078 0.7922 0.2500
Th4 0.7922 0.2078 0.7500
Th5 0.8832 0.1168 0.0570
Th6 0.8832 0.1168 0.4430
Al1 0.0354 0.9646 0.2500
Al2 0.9646 0.0354 0.7500
Cu1 0.2805 0.7195 0.5173
Cu2 0.2805 0.7195 0.9827
Cu3 0.3615 0.6385 0.2500
Cu4 0.3959 0.6041 0.6301
Cu5 0.3959 0.6041 0.8699
Cu6 0.4803 0.5197 0.1237
Cu7 0.4803 0.5197 0.3763
Cu8 0.5197 0.4803 0.6237
Cu9 0.5197 0.4803 0.8763
Cu10 0.6041 0.3959 0.1301
Cu11 0.6041 0.3959 0.3699
Cu12 0.6385 0.3615 0.7500
Cu13 0.7195 0.2805 0.0173
Cu14 0.7195 0.2805 0.4827

---

No. 20
Below is an optimized crystal structure of SmDyPb2, with properties calculated at the PBE-GGA level.

Summary:
Energy of formation: -0.370 eV per atom

abc: 4.0800 4.0800 26.1541
angles: 90.00 90.00 120.00
Fractional positions:
Sm1 0.0000 0.0000 0.0000
Sm2 0.3333 0.6667 0.6667
Sm3 0.6667 0.3333 0.3333
Dy1 0.0000 0.0000 0.5000
Dy2 0.3333 0.6667 0.1667
Dy3 0.6667 0.3333 0.8333
Pb1 0.0000 0.0000 0.2485
Pb2 0.0000 0.0000 0.7515
Pb3 0.3333 0.6667 0.4181
Pb4 0.3333 0.6667 0.9152
Pb5 0.6667 0.3333 0.0848
Pb6 0.6667 0.3333 0.5819